Compound: Dy8Er6Al
Source: the Alexandria database
Functional: PBE
Structure: optimized geometry

Values from the calculation:
Its space group is P-3, No. 147. The formation energy is 99 meV per atom.

```
Dy8Er6Al
1.0
9.3187 0.0000 0.0000
-4.6594 8.0703 0.0000
0.0000 0.0000 6.1596
Dy Er Al
8 6 1
Direct
0.0424 0.7796 0.1979 Dy
0.2204 0.2628 0.1979 Dy
0.2628 0.0424 0.8021 Dy
0.3333 0.6667 0.1952 Dy
0.6667 0.3333 0.8048 Dy
0.7372 0.9576 0.1979 Dy
0.7796 0.7372 0.8021 Dy
0.9576 0.2204 0.8021 Dy
0.0942 0.6374 0.6903 Er
0.3626 0.4568 0.6903 Er
0.4568 0.0942 0.3097 Er
0.5432 0.9058 0.6903 Er
0.6374 0.5432 0.3097 Er
0.9058 0.3626 0.3097 Er
0.0000 0.0000 0.5000 Al
```

=====

Compound: Dy12Er3Al
Source: the Alexandria database
Functional: PBE
Structure: optimized geometry

Values from the calculation:
Its space group is P4/mmm, No. 123. The formation energy is -20 meV per atom.

```
Dy12Er3Al
1.0
4.9198 0.0000 0.0000
0.0000 4.9198 0.0000
0.0000 0.0000 19.9459
Dy Er Al
12 3 1
Direct
0.0000 0.0000 0.0000 Dy
0.0000 0.0000 0.2433 Dy
0.0000 0.0000 0.5000 Dy
0.0000 0.0000 0.7567 Dy
0.0000 0.5000 0.1178 Dy
0.0000 0.5000 0.3723 Dy
0.0000 0.5000 0.6277 Dy
0.0000 0.5000 0.8822 Dy
0.5000 0.0000 0.1178 Dy
0.5000 0.0000 0.3723 Dy
0.5000 0.0000 0.6277 Dy
0.5000 0.0000 0.8822 Dy
0.5000 0.5000 0.2465 Er
0.5000 0.5000 0.5000 Er
0.5000 0.5000 0.7535 Er
0.5000 0.5000 0.0000 Al
```

=====

Compound: Dy3ErAl2
Source: the Alexandria database
Functional: PBE
Structure: optimized geometry

Values from the calculation:
Its space group is Pmc2_1, No. 26. The formation energy is -294 meV per atom.

```
Dy3ErAl2
1.0
5.0886 0.0000 0.0000
0.0000 9.4406 0.0000
0.0000 0.0000 6.5304
Dy Er Al
6 2 4
Direct
0.0000 0.0400 0.0000 Dy
0.0000 0.3245 0.3394 Dy
0.0000 0.6755 0.8394 Dy
0.0000 0.9600 0.5000 Dy
0.5000 0.1780 0.7147 Dy
0.5000 0.8220 0.2147 Dy
0.5000 0.4591 0.0537 Er
0.5000 0.5409 0.5537 Er
0.0000 0.3529 0.8206 Al
0.0000 0.6471 0.3206 Al
0.5000 0.1477 0.2341 Al
0.5000 0.8523 0.7341 Al
```

=====

Compound: Dy3Er12Al
Source: the Alexandria database
Functional: PBE
Structure: optimized geometry

Values from the calculation:
Its space group is P4/mmm, No. 123. The formation energy is -19 meV per atom.

```
Dy3Er12Al
1.0
4.8917 0.0000 0.0000
0.0000 4.8917 0.0000
0.0000 0.0000 19.8212
Dy Er Al
3 12 1
Direct
0.0000 0.0000 0.0000 Dy
0.0000 0.0000 0.2536 Dy
0.0000 0.0000 0.7464 Dy
0.0000 0.5000 0.1278 Er
0.0000 0.5000 0.3826 Er
0.0000 0.5000 0.6174 Er
0.0000 0.5000 0.8722 Er
0.5000 0.0000 0.1278 Er
0.5000 0.0000 0.3826 Er
0.5000 0.0000 0.6174 Er
0.5000 0.0000 0.8722 Er
0.5000 0.5000 0.0000 Er
0.5000 0.5000 0.2576 Er
0.5000 0.5000 0.5000 Er
0.5000 0.5000 0.7424 Er
0.0000 0.0000 0.5000 Al
```

=====

Compound: Dy4Er2Al
Source: the Alexandria database
Functional: PBE
Structure: optimized geometry

Values from the calculation:
Its space group is R-3m, No. 166. The formation energy is 411 meV per atom.

```
Dy4Er2Al
1.0
2.3095 1.3334 12.6650
-2.3095 1.3334 12.6650
0.0000 -2.6668 12.6650
Dy Er Al
4 2 1
Direct
0.0862 0.0862 0.0862 Dy
0.3003 0.3003 0.3003 Dy
0.6997 0.6997 0.6997 Dy
0.9138 0.9138 0.9138 Dy
0.1932 0.1932 0.1932 Er
0.8068 0.8068 0.8068 Er
0.0000 0.0000 0.0000 Al
```

=====

Compound: Dy2ErAl6
Source: the Alexandria database
Functional: PBE
Structure: optimized geometry

Values from the calculation:
Its space group is Immm, No. 71. The formation energy is -236 meV per atom.

```
Dy2ErAl6
1.0
-1.7152 3.9390 7.3012
1.7152 -3.9390 7.3012
1.7152 3.9390 -7.3012
Dy Er Al
2 1 6
Direct
0.1508 0.1508 0.0000 Dy
0.8492 0.8492 0.0000 Dy
0.5000 0.0000 0.5000 Er
0.1685 0.3391 0.8294 Al
0.1721 0.5000 0.6721 Al
0.4903 0.6609 0.8294 Al
0.5097 0.3391 0.1706 Al
0.8279 0.5000 0.3279 Al
0.8315 0.6609 0.1706 Al
```